Here is crystalline KV2PtO8 at its relaxed geometry from Alexandria. Energies are from PBE+U.

Geometry as extended XYZ:
```
12
Lattice="5.3254 0.0000 0.0000 -2.6627 4.6119 0.0000 0.0000 0.0000 7.8502" Properties=species:S:1:pos:R:3 pbc="T T T"
K 0.0000 0.0000 0.0000
V 0.0000 3.0746 5.5968
V 2.6627 1.5373 2.2535
Pt 0.0000 0.0000 3.9251
O -0.5907 1.4741 5.0987
O -1.0907 4.3865 5.0987
O 0.9813 1.2486 2.7515
O 0.0000 3.0746 7.2579
O 2.6627 1.5373 0.5923
O 1.6815 3.3633 5.0987
O 3.7534 0.2255 2.7515
O 3.2534 3.1378 2.7515
```

Output
Space-group type = P-3 (147)
Calculated total energy = -6.5405 eV per atom
Crystal system = trigonal
Magnetic moment = 1.04 μB/f.u.
Mass density = 4.00 g/cm³